TbBe4B4 (GGA-PBE, optimized geometry); final energy = -5.28 eV per atom; space-group type = No. 137; E_form = -138 meV per atom
1.0
-2.150 -3.061 3.131
4.106 -0.198 2.626
-2.131 5.315 3.733
Tb Be B
2 8 8
Cartesian
0.000 0.000 0.000
-0.088 1.028 4.745
-0.385 3.698 5.412
-1.369 2.298 6.845
1.641 -0.987 3.962
-0.237 -0.897 2.761
2.377 1.817 3.409
0.149 1.925 1.984
-1.833 2.645 3.065
-2.999 0.985 4.764
0.578 2.714 6.850
-2.158 2.847 5.101
-0.102 -1.744 4.557
1.331 0.296 2.471
-1.419 0.733 2.274
-2.136 -0.288 3.318
-0.060 3.497 3.377
1.310 3.431 4.253